The following is a DFT calculation (GGA-PBE) of an optimized crystal structure of TbGaCuAg.

Computed properties:
The value obtained for the mass density is 8.9 g/cm3. The volume comes out at 18.62 Å³/atom. The space group is No. 216. The formation energy comes out at -0.29 eV/atom. For the density of states at the Fermi level, the calculation gives 2.6 states/eV per cell.

a = 4.7228 Å, b = 4.7228 Å, c = 4.7228 Å
α = 60.00°, β = 60.00°, γ = 60.00°
Atoms (fractional coordinates):
Tb 0.0000 0.0000 0.0000
Ga 0.5000 0.5000 0.5000
Cu 0.7500 0.7500 0.7500
Ag 0.2500 0.2500 0.2500